(1)
Ho2Zr: optimized geometry, PBE.

Results
electronic total energy	-10.46	eV per formula unit
polymorph energy (0 for the lowest one)	673	kJ/mol of formula units
magnetic moment	0.43	μB per formula unit
ΔE_f	2.414	eV per atom

a = 9.2053 Å, b = 9.2053 Å, c = 9.2053 Å
α = 60.00°, β = 60.00°, γ = 60.00°
Closest atoms and distances in Å follow each position.
Sites, in units of the cell vectors:
Ho 0.0000 0.0000 0.0000  2 Zr 2.82
Ho 0.0000 0.0000 0.5000  2 Zr 2.82
Ho 0.0000 0.5000 0.0000  2 Zr 2.82
Ho 0.5000 0.0000 0.0000  2 Zr 2.82
Zr 0.1250 0.1250 0.1250  4 Ho 2.82
Zr 0.8750 0.8750 0.8750  4 Ho 2.82

***

(2)
Ho2Zr: optimized geometry, PBE.

Results
electronic total energy	-17.44	eV per formula unit
polymorph energy (0 for the lowest one)	0	kJ/mol of formula units
magnetic moment	0.00	μB per formula unit
ΔE_f	0.088	eV per atom

a = 7.6351 Å, b = 7.6351 Å, c = 4.7759 Å
α = 90.00°, β = 90.00°, γ = 143.16°
Closest atoms and distances in Å follow each position.
Sites, in units of the cell vectors:
Ho 0.0792 0.9208 0.7500  6 Zr 3.30-3.39, 6 Ho 3.31-3.46
Ho 0.2495 0.7505 0.2500  8 Ho 3.39-3.46, 4 Zr 3.47-3.48
Ho 0.7505 0.2495 0.7500  8 Ho 3.39-3.46, 4 Zr 3.47-3.48
Ho 0.9208 0.0792 0.2500  6 Zr 3.30-3.39, 6 Ho 3.31-3.46
Zr 0.4237 0.5763 0.7500  2 Zr 3.25, 10 Ho 3.30-3.48
Zr 0.5763 0.4237 0.2500  2 Zr 3.25, 10 Ho 3.30-3.48

***

(3)
In3IrI: optimized geometry, PBE.

Results
electronic total energy	-20.05	eV per formula unit
magnetic moment	0.00	μB per formula unit

a = 5.2724 Å, b = 5.2724 Å, c = 5.2724 Å
α = 90.00°, β = 90.00°, γ = 90.00°
Closest atoms and distances in Å follow each position.
Sites, in units of the cell vectors:
In 0.0000 0.0000 0.5000  2 Ir 2.64
In 0.0000 0.5000 0.0000  2 Ir 2.64
In 0.5000 0.0000 0.0000  2 Ir 2.64
Ir 0.0000 0.0000 0.0000  6 In 2.64
I 0.5000 0.5000 0.5000  12 In 3.73

***

(4)
In3IrI: optimized geometry, PBE.

Results
electronic total energy	-20.04	eV per formula unit
magnetic moment	0.00	μB per formula unit

a = 7.4349 Å, b = 7.4349 Å, c = 5.2604 Å
α = 90.00°, β = 90.00°, γ = 90.02°
Closest atoms and distances in Å follow each position.
Sites, in units of the cell vectors:
In 0.0000 0.0000 0.0000  2 Ir 2.62
In 0.0000 0.5000 0.0000  2 Ir 2.63
In 0.2478 0.7522 0.5000  2 Ir 2.63
In 0.5000 0.0000 0.0000  2 Ir 2.63
In 0.5000 0.5000 0.0000  2 Ir 2.64
In 0.7522 0.2478 0.5000  2 Ir 2.63
Ir 0.2494 0.7506 0.0000  6 In 2.62-2.64
Ir 0.7506 0.2494 0.0000  6 In 2.62-2.64
I 0.2541 0.2541 0.5000  12 In 3.69-3.75
I 0.7459 0.7459 0.5000  12 In 3.69-3.75